Entry 1
Material: AsRuBr2N
Method: DFT, GGA-PBE
State: optimized geometry

Unit cell a=5.0495 b=5.0495 c=4.6627 alpha=90.00 beta=90.00 gamma=90.00
Atoms (fractional coordinates):
As (0.0000, 0.0000, 0.0000)
Ru (0.0000, 0.0000, 0.5000)
Br (0.0000, 0.5000, 0.5000)
Br (0.5000, 0.0000, 0.5000)
N (0.5000, 0.5000, 0.0000)

Calculated values
The calculation puts the calculated volume at 118.9 Å³/f.u. The density of states at the Fermi level is 1.8980 states/eV/atom.

---

Entry 2
Material: AsRuBr2N
Method: DFT, GGA-PBE
State: optimized geometry

Unit cell a=4.4243 b=4.4243 c=4.5708 alpha=90.00 beta=90.00 gamma=90.00
Atoms (fractional coordinates):
As (0.0000, 0.0000, 0.0000)
Ru (0.5000, 0.5000, 0.0000)
Br (0.0000, 0.5000, 0.5000)
Br (0.5000, 0.0000, 0.5000)
N (0.0000, 0.0000, 0.5000)

Calculated values
The calculation puts the calculated volume at 89.5 Å³/f.u. The density of states at the Fermi level is 0.9579 states/eV/atom.

---

Which structure wins on stability? entry 2 wins.

---

Entry 1
Material: AsSBr2N
Method: DFT, GGA-PBE
State: optimized geometry

Unit cell a=4.4911 b=4.4911 c=4.7233 alpha=90.00 beta=90.00 gamma=90.00
Atoms (fractional coordinates):
As (0.0000, 0.0000, 0.0000)
S (0.5000, 0.5000, 0.0000)
Br (0.0000, 0.5000, 0.5000)
Br (0.5000, 0.0000, 0.5000)
N (0.0000, 0.0000, 0.5000)

Calculated values
The calculation puts the calculated volume at 95.3 Å³/f.u. The density of states at the Fermi level is 0.7908 states/eV/atom.

---

Entry 2
Material: AsSBr2N
Method: DFT, GGA-PBE
State: optimized geometry

Unit cell a=5.2755 b=5.2755 c=4.9739 alpha=90.00 beta=90.00 gamma=90.00
Atoms (fractional coordinates):
As (0.0000, 0.0000, 0.0000)
S (0.0000, 0.0000, 0.5000)
Br (0.0000, 0.5000, 0.5000)
Br (0.5000, 0.0000, 0.5000)
N (0.5000, 0.5000, 0.0000)

Calculated values
The calculation puts the calculated volume at 138.4 Å³/f.u. The density of states at the Fermi level is 0.6328 states/eV/atom.

---

Which structure wins on stability? entry 1 wins.